No. 1
First-principles (PBE) data for a geometry-optimized SrDyMg structure, as listed in OQMD.

Geometry as POSCAR:
```
SrDyMg
1.0
0.000 3.922 3.922
3.922 0.000 3.922
3.922 3.922 0.000
Sr Mg Dy
1 1 1
direct
0.750 0.750 0.750
0.000 0.000 0.000
0.250 0.250 0.250
```

Output
Relative energy among the computed polymorphs, eV/atom: 0.000
Crystal system: cubic
Symmetry: F-43m, No. 216
Calculated density, kg/m³: 3776


No. 2
First-principles (PBE) data for a geometry-optimized DyMgTa structure, as listed in OQMD.

Geometry as POSCAR:
```
DyMgTa
1.0
-3.559 -2.909 1.287
-4.277 1.806 1.108
-3.708 -0.677 -2.929
Dy Mg Ta
1 1 1
direct
0.250 0.250 0.250
0.000 0.000 0.000
0.750 0.750 0.750
```

Output
Relative energy among the computed polymorphs, eV/atom: 0.000
Crystal system: cubic
Symmetry: F-43m, No. 216
Calculated density, kg/m³: 7940


No. 3
First-principles (PBE) data for a geometry-optimized DyMgTa structure, as listed in OQMD.

Geometry as POSCAR:
```
DyMgTa
1.0
0.000 3.472 3.472
3.472 0.000 3.472
3.472 3.472 0.000
Mg Ta Dy
1 1 1
direct
0.250 0.250 0.250
0.750 0.750 0.750
0.000 0.000 0.000
```

Output
Relative energy among the computed polymorphs, eV/atom: 0.356
Crystal system: cubic
Symmetry: F-43m, No. 216
Calculated density, kg/m³: 7295


No. 4
First-principles (PBE) data for a geometry-optimized TbDyMg structure, as listed in OQMD.

Geometry as POSCAR:
```
TbDyMg
1.0
1.298 3.473 3.691
-2.381 -0.119 4.657
2.633 -1.555 4.245
Mg Tb Dy
1 1 1
direct
0.000 0.000 0.000
0.750 0.750 0.750
0.250 0.250 0.250
```

Output
Final energy, eV per cell: -9.5
Crystal system: cubic
Symmetry: F-43m, No. 216
Calculated density, kg/m³: 5671


No. 5
First-principles (PBE) data for a geometry-optimized TbDy2Mg3Tl3 structure, as listed in OQMD.

Geometry as POSCAR:
```
TbDy2Mg3Tl3
1.0
4.666 0.000 0.000
0.000 6.518 3.758
0.000 -6.518 3.758
Mg Dy Tl Tb
3 2 3 1
direct
0.500 0.758 0.758
0.500 0.000 0.242
0.500 0.242 0.000
0.000 0.000 0.566
0.000 0.566 0.000
0.500 0.667 0.333
0.500 0.333 0.667
0.000 0.000 0.000
0.000 0.434 0.434
```

Output
Final energy, eV per cell: -28.5
Crystal system: orthorhombic
Symmetry: Amm2, No. 38
Calculated density, kg/m³: 8500


No. 6
First-principles (PBE) data for a geometry-optimized DyMgTl2 structure, as listed in OQMD.

Geometry as POSCAR:
```
DyMgTl2
1.0
4.745 0.000 0.000
0.000 4.745 0.000
0.000 0.000 4.448
Mg Tl Dy
1 2 1
direct
0.500 0.500 0.500
0.000 0.500 0.000
0.500 0.000 0.000
0.000 0.000 0.500
```

Output
Final energy, eV per cell: -11.9
Crystal system: tetragonal
Symmetry: P4/mmm, No. 123
Calculated density, kg/m³: 9875


No. 7
First-principles (PBE) data for a geometry-optimized Dy2YMg4Tl2 structure, as listed in OQMD.

Geometry as POSCAR:
```
Dy2YMg4Tl2
1.0
4.645 0.000 0.000
0.000 6.571 3.791
0.000 -6.571 3.791
Dy Mg Y Tl
2 4 1 2
direct
0.000 0.000 0.565
0.000 0.565 0.000
0.500 0.000 0.242
0.500 0.242 0.000
0.500 0.758 0.758
0.000 0.000 0.000
0.000 0.435 0.435
0.500 0.333 0.667
0.500 0.667 0.333
```

Output
Final energy, eV per cell: -28.8
Crystal system: orthorhombic
Symmetry: Amm2, No. 38
Calculated density, kg/m³: 6601


No. 8
First-principles (PBE) data for a geometry-optimized DyY2Mg4Tl2 structure, as listed in OQMD.

Geometry as POSCAR:
```
DyY2Mg4Tl2
1.0
-2.805 2.748 -2.462
0.643 -4.670 -5.945
-5.524 -1.081 5.087
Y Mg Tl Dy
2 4 2 1
direct
0.000 0.565 0.000
0.000 0.000 0.565
0.500 0.758 0.758
0.500 0.242 0.000
0.500 0.000 0.242
0.000 0.000 0.000
0.500 0.666 0.333
0.500 0.333 0.666
0.000 0.435 0.435
```

Output
Final energy, eV per cell: -30.8
Crystal system: orthorhombic
Symmetry: Amm2, No. 38
Calculated density, kg/m³: 6080